A relaxed structure of LaSbTe2I. Source: Alexandria, functional PBE-GGA.

CIF file:
```
data_LaSbTe2I
_space_group_name_H-M_alt 'P 1'
_space_group_IT_number 1
_cell_length_a 6.2382
_cell_length_b 6.2382
_cell_length_c 6.0821
_cell_angle_alpha 90.00
_cell_angle_beta 90.00
_cell_angle_gamma 90.00
loop_
_space_group_symop_operation_xyz
'x,y,z'
loop_
_atom_site_label
_atom_site_fract_x
_atom_site_fract_y
_atom_site_fract_z
_atom_site_occupancy
La1 0.0000 0.0000 0.0000 1
Sb1 0.5000 0.5000 0.5000 1
Te1 0.0000 0.5000 0.0000 1
Te2 0.5000 0.0000 0.0000 1
I1 0.0000 0.0000 0.5000 1
```

Calculated values
ρ ... 4509 kg/m³
Relative energy among the computed polymorphs ... 87 meV/atom
Final energy ... -17.589 eV/cell
Fermi-level density of states ... 0.706 states/eV/atom
Formation energy (no corrections) ... -0.141 eV/atom
Space-group type ... P4/mmm